DFT (PBE) results for a geometry-optimized Tb3Dy4Sc2 structure.

a b c (Å): 16.1657 11.3294 5.9369
angles (deg): 90.00 96.92 90.00
With the nearest neighbours (Å) after each atom.
Space group C2/c (No. 15)
Unique sites:
Tb  0.0000  0.1430  0.2500  6 Sc 3.29-3.48, 4 Dy 3.36-3.59
Tb  0.1701  0.3474  0.0793  1 Sc 3.25, 7 Dy 3.34-3.53, 1 Tb 3.61
Dy  0.0649  0.3848  0.5462  3 Dy 3.35-3.45, 4 Tb 3.36-3.47, 1 Sc 3.43
Dy  0.2205  0.1074  0.3940  2 Sc 3.20-3.29, 4 Tb 3.34-3.53, 2 Dy 3.45-3.56
Sc  0.0993  0.1146  0.8000  1 Sc 3.19, 3 Dy 3.20-3.43, 4 Tb 3.25-3.48

Calculated values
Formation energy in meV/atom: 106
Fermi-level density of states in states/eV/cell: 50.971
E in eV per atom: -4.89
Polymorph energy (0 for the lowest one) in eV/atom: 0.004
Total moment in μB/f.u.: 0.00

DFT (PBE) results for a geometry-optimized Ru2PtC structure.

a b c (Å): 6.3567 6.3567 5.1697
angles (deg): 90.00 90.00 90.00
With the nearest neighbours (Å) after each atom.
Space group I-42d (No. 122)
Unique sites:
Ru  0.1596  0.2500  0.1250  2 C 1.99
Pt  0.0000  0.0000  0.5000  2 C 2.58, 8 Ru 2.70-2.76
C  0.0000  0.0000  0.0000  4 Ru 1.99

Calculated values
Formation energy in meV/atom: 400
Fermi-level density of states in states/eV/cell: 17.037
E in eV per atom: -8.05
Total moment in μB/f.u.: 0.00

DFT (PBE) results for a geometry-optimized AsIr2Se structure.

a b c (Å): 3.0429 3.0429 6.8651
angles (deg): 90.00 90.00 90.00
With the nearest neighbours (Å) after each atom.
Space group P4/mmm (No. 123)
Unique sites:
As  0.0000  0.0000  0.0000  8 Ir 2.65
Ir  0.5000  0.5000  0.2244  4 As 2.65, 4 Se 2.87
Se  0.0000  0.0000  0.5000  8 Ir 2.87, 4 Se 3.04

Calculated values
Formation energy without anion corrections in eV per atom: 0.38
Fermi-level density of states in states/eV/cell: 3.302
E in eV per atom: -6.08
Polymorph energy (0 for the lowest one) in eV/atom: 0.344
Total moment in μB/f.u.: 0.00